Entry from Alexandria via LeMat-Bulk: LiLuCo4 after structural relaxation (PBE).

DFT formation energy, eV per atom: -0.11
Symmetry: F-43m (216)

Cell: 4.883 4.883 4.883 Å, 60.00 60.00 60.00°
Element x y z (fractional)
Lu  0.000  0.000  0.000
Co  0.625  0.625  0.126
Co  0.625  0.126  0.625
Co  0.625  0.625  0.625
Co  0.126  0.625  0.625
Li  0.250  0.250  0.250

Entry from Alexandria via LeMat-Bulk: LiLuMnCo after structural relaxation (PBE).

DFT formation energy, eV per atom: 0.04
Symmetry: F-43m (216)

Cell: 4.441 4.441 4.441 Å, 60.00 60.00 60.00°
Element x y z (fractional)
Lu  0.500  0.500  0.500
Co  0.750  0.750  0.750
Mn  0.000  0.000  0.000
Li  0.250  0.250  0.250

Entry from Alexandria via LeMat-Bulk: LiLuCoPb after structural relaxation (PBE).

DFT formation energy, eV per atom: -0.19
Symmetry: F-43m (216)

Cell: 4.645 4.645 4.645 Å, 60.00 60.00 60.00°
Element x y z (fractional)
Pb  0.250  0.250  0.250
Lu  0.750  0.750  0.750
Co  0.000  0.000  0.000
Li  0.500  0.500  0.500

Entry from Alexandria via LeMat-Bulk: LiPmLuCo after structural relaxation (PBE).

DFT formation energy, eV per atom: -0.06
Symmetry: F-43m (216)

Cell: 4.875 4.875 4.875 Å, 60.00 60.00 60.00°
Element x y z (fractional)
Lu  0.250  0.250  0.250
Co  0.000  0.000  0.000
Li  0.500  0.500  0.500
Pm  0.750  0.750  0.750

Entry from Alexandria via LeMat-Bulk: LiLuPuCo after structural relaxation (PBE).

DFT formation energy, eV per atom: 0.06
Symmetry: F-43m (216)

Cell: 4.780 4.780 4.780 Å, 60.00 60.00 60.00°
Element x y z (fractional)
Lu  0.000  0.000  0.000
Co  0.750  0.750  0.750
Li  0.250  0.250  0.250
Pu  0.500  0.500  0.500

Entry from Alexandria via LeMat-Bulk: LiLuCoRu after structural relaxation (PBE).

DFT formation energy, eV per atom: 0.00
Symmetry: F-43m (216)

Cell: 4.415 4.415 4.415 Å, 60.00 60.00 60.00°
Element x y z (fractional)
Ru  0.250  0.250  0.250
Lu  0.750  0.750  0.750
Co  0.000  0.000  0.000
Li  0.500  0.500  0.500

Q: DFT formation energy of number 3 (LiLuCoPb)?
A: -0.19 eV per atom